Compound: SrCrMo2
Source: Alexandria
Functional: PBE-GGA
Structure: optimized geometry

Cell lengths 4.938, 4.938, 9.210 Å; angles 74.45, 74.45, 90.00 degrees
Last column: magnetic moment on the atom in μB.
Sites, in units of the cell vectors:
Cr 0.250 0.750 0.500  2.13
Mo 0.374 0.125 0.250  -0.59
Mo 0.875 0.624 0.750  -0.69
Mo 0.376 0.625 0.250  -0.61
Cr 0.500 0.500 0.000  2.13
Sr 0.750 0.250 0.500  -0.01
Mo 0.375 0.626 0.750  -0.67
Sr 0.000 0.000 0.000  -0.01

Space-group type: I-42d
Calculated total energy (eV per atom): -6.9465
E_form (kJ/mol of formula units): 500
ΔE to the lowest computed polymorph (meV per atom): 630

---

Compound: Tl2ZnCu3F12
Source: Alexandria
Functional: PBE-GGA
Structure: optimized geometry

Cell lengths 7.239, 7.239, 7.239 Å; angles 60.73, 60.73, 60.73 degrees
Last column: magnetic moment on the atom in μB.
Sites, in units of the cell vectors:
F 0.664 0.079 0.079  0.12
Cu 0.000 0.500 0.000  0.96
F 0.075 0.681 0.681  0.17
F 0.319 0.925 0.319  0.17
Cu 0.500 0.000 0.000  0.96
Tl 0.371 0.371 0.371  0.00
F 0.079 0.664 0.079  0.12
F 0.319 0.319 0.925  0.17
F 0.925 0.319 0.319  0.17
F 0.921 0.336 0.921  0.12
F 0.681 0.681 0.075  0.17
F 0.336 0.921 0.921  0.12
F 0.921 0.921 0.336  0.12
F 0.681 0.075 0.681  0.17
Tl 0.629 0.629 0.629  0.00
Zn 0.000 0.000 0.000  0.04
F 0.079 0.079 0.664  0.12
Cu 0.000 0.000 0.500  0.96

Formation energy (no corrections) (eV per atom): -1.70
Space-group type: R-3m
Calculated total energy (eV per atom): -3.9647

---

Compound: ZnCd2As2
Source: Alexandria
Functional: PBE-GGA
Structure: optimized geometry

Cell lengths 3.873, 3.873, 7.994 Å; angles 75.98, 75.98, 90.00 degrees
Sites, in units of the cell vectors:
Cd 0.405 0.405 0.191
Cd 0.595 0.595 0.809
As 0.250 0.750 0.500
Zn 0.000 0.000 0.000
As 0.750 0.250 0.500

Space-group type: I4/mmm
Calculated total energy (eV per atom): -2.2759
E_form (kJ/mol of formula units): 99
ΔE to the lowest computed polymorph (meV per atom): 0

---

Compound: CsZrCu3Se4
Source: Alexandria
Functional: PBE-GGA
Structure: optimized geometry

Cell lengths 6.466, 6.466, 6.466 Å; angles 90.00, 90.00, 90.00 degrees
Sites, in units of the cell vectors:
Se 0.722 0.278 0.278
Cs 0.000 0.000 0.000
Cu 0.000 0.500 0.500
Se 0.278 0.278 0.722
Cu 0.500 0.500 0.000
Se 0.278 0.722 0.278
Cu 0.500 0.000 0.500
Zr 0.500 0.500 0.500
Se 0.722 0.722 0.722

Formation energy (no corrections) (eV per atom): -0.56
Space-group type: P-43m
Calculated total energy (eV per atom): -4.5149

---

Compound: KSc2Ag
Source: Alexandria
Functional: PBE-GGA
Structure: optimized geometry

Cell lengths 3.498, 5.393, 5.604 Å; angles 90.00, 90.00, 90.00 degrees
Sites, in units of the cell vectors:
K 0.000 0.500 0.500
Ag 0.500 0.000 0.500
Sc 0.500 0.500 0.000
Sc 0.000 0.000 0.000

Space-group type: Pmmm
Calculated total energy (eV per atom): -3.7049
E_form (kJ/mol of formula units): 173

---

Compound: Pa2CoB3
Source: Alexandria
Functional: PBE-GGA
Structure: optimized geometry

Cell lengths 5.152, 5.152, 7.133 Å; angles 112.74, 112.74, 85.95 degrees
Sites, in units of the cell vectors:
B 0.702 0.147 0.849
B 0.852 0.852 0.704
Pa 0.750 0.250 0.500
Pa 0.735 0.735 0.000
Pa 0.250 0.750 0.500
Co 0.330 0.330 0.661
B 0.853 0.298 0.151
B 0.147 0.702 0.849
B 0.148 0.148 0.296
B 0.298 0.853 0.151
Pa 0.265 0.265 0.000
Co 0.670 0.670 0.339

Space-group type: Fmmm
Calculated total energy (eV per atom): -8.2314
E_form (kJ/mol of formula units): -314